This record from Alexandria via LeMat-Bulk describes a relaxed structure of CuAs2HO6. The functional is PBE.

POSCAR file:
```
CuAs2HO6
1.0
5.483 -5.702 0.000
5.483 5.702 0.000
-1.671 0.000 4.677
Cu As H O
2 4 2 12
direct
0.129 0.871 0.750
0.871 0.129 0.250
0.214 0.395 0.345
0.395 0.214 0.845
0.605 0.786 0.155
0.786 0.605 0.655
0.319 0.681 0.250
0.681 0.319 0.750
0.016 0.290 0.172
0.231 0.613 0.371
0.288 0.384 0.711
0.290 0.016 0.672
0.384 0.288 0.211
0.387 0.769 0.129
0.613 0.231 0.871
0.616 0.712 0.789
0.710 0.984 0.328
0.712 0.616 0.289
0.769 0.387 0.629
0.984 0.710 0.828
```

Properties
Symmetry = C2/c (15)

***

This record from Alexandria via LeMat-Bulk describes a relaxed structure of BN. The functional is PBE.

POSCAR file:
```
BN
1.0
2.512 0.000 0.000
-1.256 2.176 0.000
0.000 0.000 7.789
B N
2 2
direct
0.000 0.000 0.000
0.333 0.667 0.500
0.333 0.667 0.000
0.667 0.333 0.500
```

Properties
Energy relative to the lowest polymorph listed for this composition = 0 meV/atom
Symmetry = P-6m2 (187)
Energy relative to the elements, uncorrected = -1.2862 eV/atom

***

This record from Alexandria via LeMat-Bulk describes a relaxed structure of In5Cu3. The functional is PBE.

POSCAR file:
```
In5Cu3
1.0
8.281 0.000 0.000
0.000 8.984 0.000
0.000 0.000 4.349
In Cu
10 6
direct
0.000 0.000 0.000
0.206 0.500 0.500
0.250 0.250 0.000
0.250 0.750 0.000
0.294 0.000 0.500
0.500 0.500 0.000
0.706 0.000 0.500
0.750 0.250 0.000
0.750 0.750 0.000
0.794 0.500 0.500
0.000 0.230 0.500
0.000 0.500 0.000
0.000 0.770 0.500
0.500 0.000 0.000
0.500 0.270 0.500
0.500 0.730 0.500
```

Properties
Energy relative to the lowest polymorph listed for this composition = 44 meV/atom
Symmetry = Cmmm (65)
Formation enthalpy at 0 K = 174 meV/atom

***

This record from Alexandria via LeMat-Bulk describes a relaxed structure of MgCoH6. The functional is PBE.

POSCAR file:
```
MgCoH6
1.0
3.967 0.000 0.000
-1.983 3.435 0.000
0.000 0.000 3.960
Mg Co H
1 1 6
direct
0.000 0.000 0.000
0.667 0.333 0.500
0.008 0.502 0.740
0.008 0.506 0.260
0.494 0.502 0.260
0.494 0.992 0.740
0.498 0.506 0.740
0.498 0.992 0.260
```

Properties
Symmetry = P312 (149)

***

This record from Alexandria via LeMat-Bulk describes a relaxed structure of RbBe3O. The functional is PBE.

POSCAR file:
```
RbBe3O
1.0
4.291 0.000 0.000
0.000 4.291 0.000
0.000 0.000 4.291
Rb Be O
1 3 1
direct
0.000 0.000 0.000
0.000 0.500 0.500
0.500 0.000 0.500
0.500 0.500 0.000
0.500 0.500 0.500
```

Properties
Energy relative to the lowest polymorph listed for this composition = 0 meV/atom
Symmetry = Pm-3m (221)
Energy relative to the elements, uncorrected = 1.0593 eV/atom

***

This record from Alexandria via LeMat-Bulk describes a relaxed structure of ReSe2N2. The functional is PBE.

POSCAR file:
```
ReSe2N2
1.0
4.993 0.000 0.000
0.000 4.993 0.000
0.000 0.000 3.746
Re Se N
1 2 2
direct
0.000 0.000 0.000
0.000 0.500 0.000
0.500 0.000 0.000
0.000 0.000 0.500
0.500 0.500 0.500
```

Properties
Energy relative to the lowest polymorph listed for this composition = 805 meV/atom
Symmetry = P4/mmm (123)
Energy relative to the elements, uncorrected = 1.3803 eV/atom

***

This record from Alexandria via LeMat-Bulk describes a relaxed structure of Sc2IrPt. The functional is PBE.

POSCAR file:
```
Sc2IrPt
1.0
3.099 0.000 0.000
-1.550 2.684 0.000
0.000 0.000 27.360
Sc Ir Pt
6 3 3
direct
0.000 0.000 0.093
0.000 0.000 0.907
0.333 0.667 0.574
0.333 0.667 0.759
0.667 0.333 0.241
0.667 0.333 0.426
0.000 0.000 0.500
0.333 0.667 0.167
0.667 0.333 0.833
0.000 0.000 0.000
0.333 0.667 0.667
0.667 0.333 0.333
```

Properties
Symmetry = R-3m (166)
Formation enthalpy at 0 K = -303 meV/atom

***

This record from Alexandria via LeMat-Bulk describes a relaxed structure of TaRhSe2. The functional is PBE.

POSCAR file:
```
TaRhSe2
1.0
3.133 0.000 0.000
0.000 4.187 0.000
0.000 0.000 5.353
Ta Rh Se
1 1 2
direct
0.000 0.000 0.000
0.500 0.000 0.500
0.000 0.500 0.500
0.500 0.500 0.000
```

Properties
Energy relative to the lowest polymorph listed for this composition = 675 meV/atom
Symmetry = Pmmm (47)
Energy relative to the elements, uncorrected = 0.1744 eV/atom

***

V? In order: 292.4, 42.6, 323.6, 54.0, 79.0, 93.4, 227.6, 70.2 Å³ per cell.
Total energy? In order: -5.573, -8.788, -3.073, -3.452, -2.362, -5.833, -7.194, -6.369 eV/atom.